## Hf2PaZn (GGA-PBE)

Data for Hf2PaZn after structural relaxation.

a = 3.0694 Å, b = 3.0694 Å, c = 31.9330 Å
α = 90.00°, β = 90.00°, γ = 120.00°
Space group R-3m (No. 166, hexagonal axes)
Symmetry-distinct sites (fractional):
Hf  0.0000  0.0000  0.0943
Pa  0.0000  0.0000  0.0000
Zn  0.0000  0.0000  0.5000

Summary:
- Distance to the lowest polymorph of the same formula: 271 meV per atom
- Energy relative to the elements: 0.24 eV/atom